Entry from Alexandria: crystalline Dy3PaPt4 at its relaxed geometry (PBE-GGA).

Unit cell a=6.974 b=10.241 c=4.794 alpha=90.00 beta=90.05 gamma=90.00
Fractional positions:
Dy (0.000, 0.114, 0.250)
Dy (0.000, 0.886, 0.750)
Dy (0.500, 0.117, 0.250)
Dy (0.500, 0.381, 0.750)
Dy (0.500, 0.619, 0.250)
Dy (0.500, 0.883, 0.750)
Pa (0.000, 0.394, 0.750)
Pa (0.000, 0.606, 0.250)
Pt (0.241, 0.351, 0.250)
Pt (0.241, 0.649, 0.750)
Pt (0.243, 0.152, 0.750)
Pt (0.243, 0.848, 0.250)
Pt (0.757, 0.152, 0.750)
Pt (0.757, 0.848, 0.250)
Pt (0.759, 0.351, 0.250)
Pt (0.759, 0.649, 0.750)

Properties
Space-group type: P2/c, No. 13
ΔE_f, meV per atom: -1104
Magnetization, μB per formula unit: 0.4
Electronic total energy, eV/cell: -112.590


Entry from Alexandria: crystalline IrBr at its relaxed geometry (PBE-GGA).

Unit cell a=4.367 b=4.512 c=6.509 alpha=90.00 beta=90.00 gamma=90.00
Fractional positions:
Ir (0.250, 0.000, 0.086)
Ir (0.750, 0.000, 0.914)
Br (0.250, 0.500, 0.223)
Br (0.750, 0.500, 0.777)

Properties
Space-group type: Pmma, No. 51
Magnetization, μB per formula unit: 0.0
Polymorph energy (0 for the lowest one), eV/atom: 0.353
Electronic total energy, eV/cell: -18.589
ΔE_f (raw), eV per atom: 0.620


Entry from Alexandria: crystalline LaTb4Pr2Nd at its relaxed geometry (PBE-GGA).

Unit cell a=6.312 b=3.656 c=11.963 alpha=90.00 beta=100.29 gamma=90.00
Fractional positions:
La (0.000, 0.000, 0.000)
Tb (0.250, 0.000, 0.749)
Tb (0.250, 0.500, 0.251)
Tb (0.750, 0.000, 0.251)
Tb (0.750, 0.500, 0.749)
Pr (0.500, 0.000, 0.500)
Pr (0.500, 0.500, 0.000)
Nd (0.000, 0.500, 0.500)

Properties
Space-group type: P2/m, No. 10
ΔE_f, meV per atom: 14
Magnetization, μB per formula unit: 0.0
Electronic total energy, eV/cell: -37.666


Entry from Alexandria: crystalline PmTe2O8 at its relaxed geometry (PBE-GGA).

Unit cell a=5.246 b=5.246 c=5.688 alpha=97.55 beta=97.55 gamma=74.26
Fractional positions:
Pm (0.000, 0.000, 0.000)
Te (0.318, 0.318, 0.544)
Te (0.682, 0.682, 0.456)
O (0.044, 0.670, 0.653)
O (0.223, 0.223, 0.822)
O (0.330, 0.956, 0.347)
O (0.442, 0.442, 0.280)
O (0.558, 0.558, 0.720)
O (0.670, 0.044, 0.653)
O (0.777, 0.777, 0.178)
O (0.956, 0.330, 0.347)

Properties
Space-group type: C2/m, No. 12
Magnetization, μB per formula unit: 1.0
Polymorph energy (0 for the lowest one), eV/atom: 0.000
Electronic total energy, eV/cell: -64.413
ΔE_f (raw), eV per atom: -1.247


Entry from Alexandria: crystalline NdTm3Th4S8 at its relaxed geometry (PBE-GGA).

Unit cell a=8.097 b=8.097 c=8.097 alpha=57.59 beta=57.59 gamma=57.59
Fractional positions:
Nd (0.000, 0.000, 0.000)
Tm (0.000, 0.500, 0.500)
Tm (0.500, 0.000, 0.500)
Tm (0.500, 0.500, 0.000)
Th (0.000, 0.000, 0.500)
Th (0.000, 0.500, 0.000)
Th (0.500, 0.000, 0.000)
Th (0.500, 0.500, 0.500)
S (0.249, 0.249, 0.736)
S (0.249, 0.736, 0.249)
S (0.257, 0.257, 0.257)
S (0.264, 0.751, 0.751)
S (0.736, 0.249, 0.249)
S (0.743, 0.743, 0.743)
S (0.751, 0.264, 0.751)
S (0.751, 0.751, 0.264)

Properties
Space-group type: R-3m, No. 166
Magnetization, μB per formula unit: 0.0
Electronic total energy, eV/cell: -111.110
ΔE_f (raw), eV per atom: -1.889


Entry from Alexandria: crystalline Ti5Tc6Mo at its relaxed geometry (PBE-GGA).

Unit cell a=6.946 b=6.946 c=6.215 alpha=90.00 beta=90.00 gamma=143.11
Fractional positions:
Ti (0.000, 0.000, 0.000)
Ti (0.332, 0.668, 0.500)
Ti (0.333, 0.667, 0.000)
Ti (0.667, 0.333, 0.000)
Ti (0.668, 0.332, 0.500)
Tc (0.166, 0.834, 0.251)
Tc (0.166, 0.834, 0.749)
Tc (0.500, 0.500, 0.251)
Tc (0.500, 0.500, 0.749)
Tc (0.834, 0.166, 0.251)
Tc (0.834, 0.166, 0.749)
Mo (0.000, 0.000, 0.500)

Properties
Space-group type: Cmmm, No. 65
ΔE_f, meV per atom: -466
Magnetization, μB per formula unit: 0.0
Electronic total energy, eV/cell: -118.090


Entry from Alexandria: crystalline Ca3Bi2H2 at its relaxed geometry (PBE-GGA).

Unit cell a=3.894 b=6.618 c=7.040 alpha=94.89 beta=106.05 gamma=107.08
Fractional positions:
Ca (0.000, 0.000, 0.000)
Ca (0.415, 0.593, 0.236)
Ca (0.585, 0.407, 0.764)
Bi (0.223, 0.825, 0.620)
Bi (0.777, 0.175, 0.380)
H (0.140, 0.346, 0.934)
H (0.860, 0.654, 0.066)

Properties
Space-group type: P-1, No. 2
Magnetization, μB per formula unit: 0.0
Electronic total energy, eV/cell: -24.911


Entry from Alexandria: crystalline ZnCu at its relaxed geometry (PBE-GGA).

Unit cell a=4.257 b=4.257 c=4.805 alpha=90.00 beta=90.00 gamma=120.00
Fractional positions:
Zn (0.333, 0.667, 0.250)
Zn (0.667, 0.333, 0.750)
Cu (0.333, 0.667, 0.750)
Cu (0.667, 0.333, 0.250)

Properties
Space-group type: P6_3/mmc, No. 194
ΔE_f, meV per atom: 428
Magnetization, μB per formula unit: 0.0
Electronic total energy, eV/cell: -9.027


Entry from Alexandria: crystalline ZnCu2Sb at its relaxed geometry (PBE-GGA).

Unit cell a=4.552 b=4.552 c=4.552 alpha=60.00 beta=60.00 gamma=60.00
Fractional positions:
Zn (0.000, 0.000, 0.000)
Cu (0.250, 0.250, 0.250)
Cu (0.500, 0.500, 0.500)
Sb (0.750, 0.750, 0.750)

Properties
Space-group type: F-43m, No. 216
Magnetization, μB per formula unit: 0.0
Polymorph energy (0 for the lowest one), eV/atom: 0.172
Electronic total energy, eV/cell: -12.536
ΔE_f (raw), eV per atom: 0.263


Entry from Alexandria: crystalline Pm4Ga12Ag at its relaxed geometry (PBE-GGA).

Unit cell a=7.640 b=7.640 c=7.640 alpha=109.47 beta=109.47 gamma=109.47
Fractional positions:
Pm (0.000, 0.000, 0.500)
Pm (0.000, 0.500, 0.000)
Pm (0.500, 0.000, 0.000)
Pm (0.500, 0.500, 0.500)
Ga (0.000, 0.305, 0.305)
Ga (0.000, 0.695, 0.695)
Ga (0.250, 0.500, 0.750)
Ga (0.250, 0.750, 0.500)
Ga (0.305, 0.000, 0.305)
Ga (0.305, 0.305, 0.000)
Ga (0.500, 0.250, 0.750)
Ga (0.500, 0.750, 0.250)
Ga (0.695, 0.000, 0.695)
Ga (0.695, 0.695, 0.000)
Ga (0.750, 0.250, 0.500)
Ga (0.750, 0.500, 0.250)
Ag (0.000, 0.000, 0.000)

Properties
Space-group type: Im-3m, No. 229
ΔE_f, meV per atom: -537
Magnetization, μB per formula unit: 0.0
Electronic total energy, eV/cell: -67.298


Entry from Alexandria: crystalline TmSnPt2 at its relaxed geometry (PBE-GGA).

Unit cell a=4.543 b=4.543 c=8.999 alpha=90.00 beta=90.00 gamma=120.00
Fractional positions:
Tm (0.333, 0.667, 0.250)
Tm (0.667, 0.333, 0.750)
Sn (0.000, 0.000, 0.000)
Sn (0.000, 0.000, 0.500)
Pt (0.333, 0.667, 0.591)
Pt (0.333, 0.667, 0.909)
Pt (0.667, 0.333, 0.091)
Pt (0.667, 0.333, 0.409)

Properties
Space-group type: P6_3/mmc, No. 194
ΔE_f, meV per atom: -1027
Magnetization, μB per formula unit: 0.0
Electronic total energy, eV/cell: -49.328


Entry from Alexandria: crystalline Ga2FeCo5 at its relaxed geometry (PBE-GGA).

Unit cell a=6.387 b=6.387 c=6.387 alpha=143.07 beta=143.07 gamma=53.22
Fractional positions:
Ga (0.250, 0.250, 0.000)
Ga (0.750, 0.750, 0.000)
Fe (0.000, 0.000, 0.000)
Co (0.121, 0.621, 0.500)
Co (0.379, 0.879, 0.500)
Co (0.500, 0.500, 0.000)
Co (0.621, 0.121, 0.500)
Co (0.879, 0.379, 0.500)

Properties
Space-group type: I4/mmm, No. 139
ΔE_f, meV per atom: -115
Magnetization, μB per formula unit: 9.4
Electronic total energy, eV/cell: -50.962